# Tm3Cd2Co | Alexandria via LeMat-Bulk | PBE | relaxed
data_Tm3Cd2Co
_cell_length_a 7.786
_cell_length_b 7.786
_cell_length_c 7.447
_cell_angle_alpha 90.00
_cell_angle_beta 90.00
_cell_angle_gamma 142.92
_symmetry_space_group_name_H-M 'P 1'
_symmetry_Int_Tables_number 1
loop_
_symmetry_equiv_pos_as_xyz
'x,y,z'
loop_
_atom_site_label
_atom_site_type_symbol
_atom_site_fract_x
_atom_site_fract_y
_atom_site_fract_z
Tm1 Tm 0.000 0.000 0.230
Tm2 Tm 0.000 0.000 0.770
Tm3 Tm 0.325 0.675 0.219
Tm4 Tm 0.325 0.675 0.781
Tm5 Tm 0.675 0.325 0.219
Tm6 Tm 0.675 0.325 0.781
Cd1 Cd 0.165 0.835 0.500
Cd2 Cd 0.500 0.500 0.000
Cd3 Cd 0.500 0.500 0.500
Cd4 Cd 0.835 0.165 0.500
Co1 Co 0.162 0.838 0.000
Co2 Co 0.838 0.162 0.000
# Space-group type: No. 65
# Distance to the lowest polymorph of the same formula, meV/atom: 0
# DFT total energy, Ha/atom: -0.147
# DFT formation energy, meV/atom: -270.8
# Crystal system: orthorhombic